A geometry-optimized Co2ReOs structure, computed with GGA-PBE.

Cell: 3.6933 3.6933 7.3792 Å, 90.00 90.00 90.00°
Space group I4/mmm (No. 139)
Unique sites:
Co 0.0000 0.5000 0.2500 x4
Re 0.0000 0.0000 0.0000 x2
Os 0.0000 0.0000 0.5000 x2

Volume: 12.6 Å³/atom
Energy of formation: 106 meV/atom
Total DFT energy (no corrections): -9.37 eV per atom



A geometry-optimized CoRe2Os structure, computed with GGA-PBE.

Cell: 3.8351 3.8351 7.4935 Å, 90.00 90.00 90.00°
Space group I-4m2 (No. 119)
Unique sites:
Co 0.0000 0.0000 0.0000 x2
Re 0.0000 0.0000 0.5000 x2
Re 0.0000 0.5000 0.2500 x2
Os 0.0000 0.5000 0.7500 x2

Volume: 13.8 Å³/atom
Energy of formation: 58 meV/atom
Total DFT energy (no corrections): -10.75 eV per atom